[1]
This record from Alexandria describes a geometry-optimized HfReSCl2 structure. The functional is PBE.

Calculated values
The space group is No. 123.

Cell lengths 5.0183, 5.0183, 4.9474 Å; angles 90.00, 90.00, 90.00 degrees
Last column: magnetic moment on the atom in μB.
Positions (direct):
Cl (0.0000, 0.5000, 0.0000)  0.06
Cl (0.5000, 0.0000, 0.0000)  0.06
S (0.0000, 0.0000, 0.5000)  0.09
Hf (0.0000, 0.0000, 0.0000)  -0.09
Re (0.5000, 0.5000, 0.5000)  4.27



[2]
This record from Alexandria describes a geometry-optimized HfTlRe2Cl structure. The functional is PBE.

Calculated values
The space group is No. 123.

Cell lengths 4.9487, 6.0063, 4.9487 Å; angles 90.00, 90.00, 90.00 degrees
Last column: magnetic moment on the atom in μB.
Positions (direct):
Hf (0.0000, 0.0000, 0.0000)  -0.22
Re (0.5000, 0.0000, 0.0000)  2.25
Re (0.0000, 0.0000, 0.5000)  1.79
Cl (0.5000, 0.5000, 0.5000)  0.12
Tl (0.0000, 0.5000, 0.0000)  -0.02



[3]
This record from Alexandria describes a geometry-optimized Y2HfReCl structure. The functional is PBE.

Calculated values
The space group is No. 123.

Cell lengths 5.6085, 4.9211, 5.6085 Å; angles 90.00, 90.00, 90.00 degrees
Positions (direct):
Cl (0.5000, 0.5000, 0.5000)
Y (0.0000, 0.0000, 0.5000)
Y (0.5000, 0.0000, 0.0000)
Re (0.0000, 0.0000, 0.0000)
Hf (0.0000, 0.5000, 0.0000)



[4]
This record from Alexandria describes a geometry-optimized HfRhCl2 structure. The functional is PBE.

Calculated values
The space group is No. 166.

Cell lengths 8.5575, 8.5575, 8.5575 Å; angles 21.26, 21.26, 21.26 degrees
Positions (direct):
Rh (0.0000, 0.0000, 0.0000)
Cl (0.9072, 0.9072, 0.9072)
Cl (0.0928, 0.0928, 0.0928)
Hf (0.5000, 0.5000, 0.5000)



[5]
This record from Alexandria describes a geometry-optimized HfRhCl2 structure. The functional is PBE.

Calculated values
The space group is No. 225.

Cell lengths 4.5084, 4.5084, 4.5084 Å; angles 60.00, 60.00, 60.00 degrees
Positions (direct):
Rh (0.0000, 0.0000, 0.0000)
Cl (0.2500, 0.2500, 0.2500)
Cl (0.7500, 0.7500, 0.7500)
Hf (0.5000, 0.5000, 0.5000)



[6]
This record from Alexandria describes a geometry-optimized HfRhCl3 structure. The functional is PBE.

Calculated values
The space group is No. 221.

Cell lengths 4.7749, 4.7749, 4.7749 Å; angles 90.00, 90.00, 90.00 degrees
Last column: magnetic moment on the atom in μB.
Positions (direct):
Cl (0.5000, 0.0000, 0.0000)  -0.02
Cl (0.0000, 0.0000, 0.5000)  0.01
Cl (0.0000, 0.5000, 0.0000)  -0.01
Hf (0.5000, 0.5000, 0.5000)  1.29
Rh (0.0000, 0.0000, 0.0000)  -0.06



[7]
This record from Alexandria describes a geometry-optimized HfRhCl2 structure. The functional is PBE.

Calculated values
The space group is No. 122.

Cell lengths 5.8097, 5.8097, 6.5285 Å; angles 63.58, 63.58, 90.00 degrees
Positions (direct):
Cl (0.6175, 0.1250, 0.2500)
Cl (0.3750, 0.3825, 0.7500)
Cl (0.1325, 0.6250, 0.2500)
Cl (0.8750, 0.8675, 0.7500)
Rh (0.2500, 0.7500, 0.5000)
Rh (0.5000, 0.5000, 0.0000)
Hf (0.0000, 0.0000, 0.0000)
Hf (0.7500, 0.2500, 0.5000)



[8]
This record from Alexandria describes a geometry-optimized HfRh2Cl structure. The functional is PBE.

Calculated values
The space group is No. 122.

Cell lengths 5.6716, 5.6716, 6.8612 Å; angles 65.59, 65.59, 90.00 degrees
Positions (direct):
Cl (0.2500, 0.7500, 0.5000)
Cl (0.5000, 0.5000, 0.0000)
Hf (0.0000, 0.0000, 0.0000)
Hf (0.7500, 0.2500, 0.5000)
Rh (0.1459, 0.6250, 0.2500)
Rh (0.6041, 0.1250, 0.2500)
Rh (0.8750, 0.8541, 0.7500)
Rh (0.3750, 0.3959, 0.7500)



[9]
This record from Alexandria describes a geometry-optimized HfRhCl3 structure. The functional is PBE.

Calculated values
The space group is No. 221.

Cell lengths 4.9276, 4.9276, 4.9276 Å; angles 90.00, 90.00, 90.00 degrees
Positions (direct):
Hf (0.0000, 0.0000, 0.0000)
Cl (0.5000, 0.0000, 0.0000)
Cl (0.0000, 0.5000, 0.0000)
Cl (0.0000, 0.0000, 0.5000)
Rh (0.5000, 0.5000, 0.5000)



[10]
This record from Alexandria describes a geometry-optimized HfRh2Cl structure. The functional is PBE.

Calculated values
The space group is No. 225.

Cell lengths 4.5480, 4.5480, 4.5480 Å; angles 60.00, 60.00, 60.00 degrees
Positions (direct):
Cl (0.0000, 0.0000, 0.0000)
Rh (0.7500, 0.7500, 0.7500)
Rh (0.2500, 0.2500, 0.2500)
Hf (0.5000, 0.5000, 0.5000)



[11]
This record from Alexandria describes a geometry-optimized HfSiRh2Cl structure. The functional is PBE.

Calculated values
The space group is No. 123.

Cell lengths 4.3674, 4.7133, 4.3674 Å; angles 90.00, 90.00, 90.00 degrees
Positions (direct):
Hf (0.5000, 0.5000, 0.5000)
Cl (0.0000, 0.0000, 0.0000)
Rh (0.0000, 0.0000, 0.5000)
Rh (0.5000, 0.0000, 0.0000)
Si (0.0000, 0.5000, 0.0000)



[12]
This record from Alexandria describes a geometry-optimized HfTeRh2Cl structure. The functional is PBE.

Calculated values
The space group is No. 123.

Cell lengths 4.8460, 5.0179, 4.8460 Å; angles 90.00, 90.00, 90.00 degrees
Positions (direct):
Rh (0.0000, 0.0000, 0.5000)
Rh (0.5000, 0.0000, 0.0000)
Te (0.0000, 0.0000, 0.0000)
Cl (0.0000, 0.5000, 0.0000)
Hf (0.5000, 0.5000, 0.5000)



| no. | uncorrected formation energy (eV/f.u.) | calculated volume (A^3/atom) | calculated density (g cm⁻³) |
| --- | --- | --- | --- |
| 1 | 1.52 | 24.9 | 6.2 |
| 2 | 9.39 | 29.4 | 8.9 |
| 3 | 1.10 | 31.0 | 6.2 |
| 4 | -1.91 | 18.0 | 8.1 |
| 5 | -0.45 | 16.2 | 9.0 |
| 6 | 1.32 | 21.8 | 5.9 |
| 7 | 0.33 | 21.4 | 6.8 |
| 8 | 0.43 | 22.4 | 7.8 |
| 9 | -0.85 | 23.9 | 5.4 |
| 10 | -0.27 | 16.6 | 10.5 |
| 11 | 2.96 | 18.0 | 8.3 |
| 12 | 4.00 | 23.6 | 7.7 |